Material: MgTlGaO2
Method: DFT, meta-GGA SCAN
State: PBEsol geometry

Structure (extended XYZ):
```
5
Lattice="-2.832 -1.359 -2.315 1.646 -3.538 0.063 -2.966 -1.301 4.392" Properties=species:S:1:pos:R:3 pbc="T T T"
Mg -1.483 -0.650 2.196
O 0.823 -1.769 0.032
O -1.416 -0.679 -1.158
Tl -2.076 -3.099 1.070
Ga 0.000 0.000 0.000
```

E_form (uncorrected): -418 meV/atom
symmetry: P4/mmm


Material: SbBrCl2
Method: DFT, meta-GGA SCAN
State: PBEsol geometry

Structure (extended XYZ):
```
4
Lattice="-1.491 0.422 3.633 -5.567 -1.732 -2.083 3.512 -5.348 2.061" Properties=species:S:1:pos:R:3 pbc="T T T"
Cl -0.121 -1.016 0.068
Cl -3.284 -2.261 1.062
Sb -1.040 -3.164 -0.059
Br -0.129 -3.758 2.530
```

E_form (uncorrected): -744 meV/atom
symmetry: Pm
ΔE to the lowest computed polymorph: 0.000 eV/atom


Material: ZrHg2Sb
Method: DFT, meta-GGA SCAN
State: PBEsol geometry

Structure (extended XYZ):
```
4
Lattice="3.178 0.000 0.000 0.000 5.230 -0.043 -1.589 -2.564 5.362" Properties=species:S:1:pos:R:3 pbc="T T T"
Sb 1.589 0.000 0.000
Hg 0.000 0.026 2.751
Hg 1.589 2.641 2.567
Zr 0.000 2.615 -0.022
```

E_form (uncorrected): -160 meV/atom
symmetry: C2/m


Material: CdPRh2
Method: DFT, meta-GGA SCAN
State: PBEsol geometry

Structure (extended XYZ):
```
4
Lattice="2.937 0.000 -0.061 0.000 4.363 0.000 -1.367 0.000 4.838" Properties=species:S:1:pos:R:3 pbc="T T T"
Cd 0.601 0.000 2.340
P -0.831 2.182 4.055
Rh 2.042 2.182 0.988
Rh -0.823 0.000 4.622
```

ΔE_f: -0.237 eV/atom
symmetry: Amm2
ΔE to the lowest computed polymorph: 0.085 eV/atom


Material: LiBe2Re
Method: DFT, meta-GGA SCAN
State: PBEsol geometry

Structure (extended XYZ):
```
4
Lattice="-1.816 1.383 -1.896 0.558 -2.075 -2.047 -4.183 -2.952 1.853" Properties=species:S:1:pos:R:3 pbc="T T T"
Be -2.900 -2.047 1.285
Be -1.283 -0.905 0.568
Re -2.721 -1.822 -1.046
Li -0.629 -0.346 -1.972
```

ΔE_f: 0.104 eV/atom
symmetry: P4/mmm
ΔE to the lowest computed polymorph: 0.017 eV/atom


Material: DyNi4B
Method: DFT, meta-GGA SCAN
State: PBEsol geometry

Structure (extended XYZ):
```
12
Lattice="4.892 0.000 0.000 -2.446 4.237 0.000 0.000 0.000 6.876" Properties=species:S:1:pos:R:3 pbc="T T T"
B 0.000 2.824 3.438
B 2.446 1.412 3.438
Ni 2.446 1.412 0.000
Ni 1.223 2.118 4.880
Ni 2.446 0.000 1.996
Ni 0.000 2.824 0.000
Ni -1.223 2.118 1.996
Ni 1.223 2.118 1.996
Ni 2.446 0.000 4.880
Ni -1.223 2.118 4.880
Dy 0.000 0.000 3.438
Dy 0.000 0.000 0.000
```

ΔE_f: -0.499 eV/atom
symmetry: P6/mmm


| no. | size of the total moment (μB per cell) |
| --- | --- |
| 1 | 0.0 |
| 2 | 0.0 |
| 3 | 0.0 |
| 4 | 0.0 |
| 5 | 0.0 |
| 6 | 0.0 |